Entry 1:
Entry from Alexandria via LeMat-Bulk: an optimized crystal structure of ThH2Se (PBE).

crystal system: orthorhombic
DOS(E_F): 0.000 states/eV per atom

Structure (CIF):
```
data_ThH2Se
_chemical_formula_sum 'Th2 H4 Se2'
_space_group_name_H-M_alt 'P 1'
_space_group_IT_number 1
_cell_length_a 3.9126
_cell_length_b 5.9253
_cell_length_c 5.0675
_cell_angle_alpha 90.00
_cell_angle_beta 90.00
_cell_angle_gamma 90.00
loop_
_space_group_symop_operation_xyz
'x,y,z'
loop_
_atom_site_label
_atom_site_fract_x
_atom_site_fract_y
_atom_site_fract_z
Th1 0.2500 0.2500 0.1645
Th2 0.7500 0.7500 0.8355
H1 0.2500 0.5518 0.8860
H2 0.2500 0.9482 0.8860
H3 0.7500 0.0518 0.1140
H4 0.7500 0.4482 0.1140
Se1 0.2500 0.7500 0.3731
Se2 0.7500 0.2500 0.6269
```


Entry 2:
Entry from Alexandria via LeMat-Bulk: an optimized crystal structure of TiHSe3 (PBE).

crystal system: cubic
DOS(E_F): 1.306 states/eV per atom

Structure (CIF):
```
data_TiHSe3
_chemical_formula_sum 'Ti1 H1 Se3'
_space_group_name_H-M_alt 'P 1'
_space_group_IT_number 1
_cell_length_a 4.3256
_cell_length_b 4.3256
_cell_length_c 4.3256
_cell_angle_alpha 90.00
_cell_angle_beta 90.00
_cell_angle_gamma 90.00
loop_
_space_group_symop_operation_xyz
'x,y,z'
loop_
_atom_site_label
_atom_site_fract_x
_atom_site_fract_y
_atom_site_fract_z
Ti1 0.0000 0.0000 0.0000
H1 0.5000 0.5000 0.5000
Se1 0.0000 0.5000 0.5000
Se2 0.5000 0.0000 0.5000
Se3 0.5000 0.5000 0.0000
```


Entry 3:
Entry from Alexandria via LeMat-Bulk: an optimized crystal structure of Ti2HSe4 (PBE).

crystal system: monoclinic
DOS(E_F): 0.530 states/eV per atom

Structure (CIF):
```
data_Ti2HSe4
_chemical_formula_sum 'Ti4 H2 Se8'
_space_group_name_H-M_alt 'P 1'
_space_group_IT_number 1
_cell_length_a 7.3416
_cell_length_b 7.3416
_cell_length_c 7.0617
_cell_angle_alpha 118.71
_cell_angle_beta 118.71
_cell_angle_gamma 61.26
loop_
_space_group_symop_operation_xyz
'x,y,z'
loop_
_atom_site_label
_atom_site_fract_x
_atom_site_fract_y
_atom_site_fract_z
Ti1 0.0000 0.0000 0.0000
Ti2 0.0000 0.0000 0.5000
Ti3 0.0000 0.5000 0.0000
Ti4 0.5000 0.0000 0.0000
H1 0.2719 0.2719 0.5221
H2 0.7281 0.7281 0.4779
Se1 0.2428 0.7475 0.2454
Se2 0.2496 0.2496 0.2536
Se3 0.2497 0.2497 0.7450
Se4 0.2525 0.7572 0.7546
Se5 0.7475 0.2428 0.2454
Se6 0.7503 0.7503 0.2550
Se7 0.7504 0.7504 0.7464
Se8 0.7572 0.2525 0.7546
```


Entry 4:
Entry from Alexandria via LeMat-Bulk: an optimized crystal structure of Ti2H2Se (PBE).

crystal system: tetragonal
DOS(E_F): 0.458 states/eV per atom

Structure (CIF):
```
data_Ti2H2Se
_chemical_formula_sum 'Ti2 H2 Se1'
_space_group_name_H-M_alt 'P 1'
_space_group_IT_number 1
_cell_length_a 5.9148
_cell_length_b 5.9148
_cell_length_c 5.9148
_cell_angle_alpha 149.14
_cell_angle_beta 149.14
_cell_angle_gamma 44.21
loop_
_space_group_symop_operation_xyz
'x,y,z'
loop_
_atom_site_label
_atom_site_fract_x
_atom_site_fract_y
_atom_site_fract_z
Ti1 0.1400 0.1400 0.0000
Ti2 0.8600 0.8600 0.0000
H1 0.2500 0.7500 0.5000
H2 0.7500 0.2500 0.5000
Se1 0.5000 0.5000 0.0000
```


Entry 5:
Entry from Alexandria via LeMat-Bulk: an optimized crystal structure of Ti4HSe2 (PBE).

crystal system: tetragonal
DOS(E_F): 0.694 states/eV per atom

Structure (CIF):
```
data_Ti4HSe2
_chemical_formula_sum 'Ti4 H1 Se2'
_space_group_name_H-M_alt 'P 1'
_space_group_IT_number 1
_cell_length_a 7.2618
_cell_length_b 7.2618
_cell_length_c 7.2618
_cell_angle_alpha 149.48
_cell_angle_beta 149.48
_cell_angle_gamma 43.70
loop_
_space_group_symop_operation_xyz
'x,y,z'
loop_
_atom_site_label
_atom_site_fract_x
_atom_site_fract_y
_atom_site_fract_z
Ti1 0.0000 0.5000 0.5000
Ti2 0.1688 0.1688 0.0000
Ti3 0.5000 0.0000 0.5000
Ti4 0.8312 0.8312 0.0000
H1 0.0000 0.0000 0.0000
Se1 0.3599 0.3599 0.0000
Se2 0.6401 0.6401 0.0000
```


Entry 6:
Entry from Alexandria via LeMat-Bulk: an optimized crystal structure of Ti4H2Se5 (PBE).

crystal system: monoclinic
DOS(E_F): 0.518 states/eV per atom

Structure (CIF):
```
data_Ti4H2Se5
_chemical_formula_sum 'Ti4 H2 Se5'
_space_group_name_H-M_alt 'P 1'
_space_group_IT_number 1
_cell_length_a 8.0108
_cell_length_b 8.0108
_cell_length_c 8.1250
_cell_angle_alpha 104.02
_cell_angle_beta 104.02
_cell_angle_gamma 24.70
loop_
_space_group_symop_operation_xyz
'x,y,z'
loop_
_atom_site_label
_atom_site_fract_x
_atom_site_fract_y
_atom_site_fract_z
Ti1 0.9996 0.9996 0.2255
Ti2 0.0004 0.0004 0.7745
Ti3 0.3949 0.3949 0.4521
Ti4 0.6051 0.6051 0.5479
H1 0.4996 0.4996 0.3638
H2 0.5004 0.5004 0.6362
Se1 0.1600 0.1600 0.3641
Se2 0.1601 0.1601 0.7845
Se3 0.5000 0.5000 0.0000
Se4 0.8399 0.8399 0.2155
Se5 0.8400 0.8400 0.6359
```


Entry 7:
Entry from Alexandria via LeMat-Bulk: an optimized crystal structure of Ti6HSe2 (PBE).

crystal system: monoclinic
DOS(E_F): 0.832 states/eV per atom

Structure (CIF):
```
data_Ti6HSe2
_chemical_formula_sum 'Ti6 H1 Se2'
_space_group_name_H-M_alt 'P 1'
_space_group_IT_number 1
_cell_length_a 5.0910
_cell_length_b 5.0910
_cell_length_c 8.0542
_cell_angle_alpha 90.67
_cell_angle_beta 90.67
_cell_angle_gamma 39.03
loop_
_space_group_symop_operation_xyz
'x,y,z'
loop_
_atom_site_label
_atom_site_fract_x
_atom_site_fract_y
_atom_site_fract_z
Ti1 0.0473 0.0473 0.2573
Ti2 0.3637 0.3637 0.0482
Ti3 0.3637 0.3637 0.4576
Ti4 0.6363 0.6363 0.5424
Ti5 0.6363 0.6363 0.9518
Ti6 0.9527 0.9527 0.7427
H1 0.0000 0.0000 0.0000
Se1 0.2393 0.2393 0.7503
Se2 0.7607 0.7607 0.2497
```


Entry 8:
Entry from Alexandria via LeMat-Bulk: an optimized crystal structure of TiHSe3 (PBE).

crystal system: monoclinic
DOS(E_F): 0.512 states/eV per atom

Structure (CIF):
```
data_TiHSe3
_chemical_formula_sum 'Ti4 H4 Se12'
_space_group_name_H-M_alt 'P 1'
_space_group_IT_number 1
_cell_length_a 9.0352
_cell_length_b 9.0352
_cell_length_c 6.0539
_cell_angle_alpha 101.93
_cell_angle_beta 101.93
_cell_angle_gamma 71.33
loop_
_space_group_symop_operation_xyz
'x,y,z'
loop_
_atom_site_label
_atom_site_fract_x
_atom_site_fract_y
_atom_site_fract_z
Ti1 0.0962 0.9038 0.7500
Ti2 0.2409 0.7591 0.2500
Ti3 0.7591 0.2409 0.7500
Ti4 0.9038 0.0962 0.2500
H1 0.2106 0.3794 0.0499
H2 0.3794 0.2106 0.5499
H3 0.6206 0.7894 0.4501
H4 0.7894 0.6206 0.9501
Se1 0.0245 0.1980 0.9892
Se2 0.1303 0.6484 0.5003
Se3 0.1980 0.0245 0.4892
Se4 0.3516 0.8697 0.9997
Se5 0.3579 0.4319 0.1004
Se6 0.4319 0.3579 0.6004
Se7 0.5681 0.6421 0.3996
Se8 0.6421 0.5681 0.8996
Se9 0.6484 0.1303 0.0003
Se10 0.8020 0.9755 0.5108
Se11 0.8697 0.3516 0.4997
Se12 0.9755 0.8020 0.0108
```


| no. | final energy (eV/atom) | V (Å³/atom) |
| --- | --- | --- |
| 1 | -5.45 | 14.7 |
| 2 | -3.86 | 16.2 |
| 3 | -5.56 | 19.8 |
| 4 | -5.78 | 10.9 |
| 5 | -6.66 | 14.1 |
| 6 | -5.98 | 19.2 |
| 7 | -7.04 | 14.6 |
| 8 | -4.86 | 22.6 |